[1]
Compound: SrWN2O
Source: Alexandria
Functional: PBE+U
Structure: optimized geometry

Geometry as CIF:
```
data_SrWN2O
_chemical_formula_sum 'Sr1 W1 N2 O1'
_cell_length_a 4.0339
_cell_length_b 4.0339
_cell_length_c 4.0351
_cell_angle_alpha 90.00
_cell_angle_beta 90.00
_cell_angle_gamma 90.00
_space_group_name_H-M_alt 'P 4/m m m'
_space_group_IT_number 123
_space_group_name_Hall '-P 4 2'
loop_
_atom_site_label
_atom_site_type_symbol
_atom_site_fract_x
_atom_site_fract_y
_atom_site_fract_z
Sr1 Sr 0.0000 0.0000 0.0000
W1 W 0.5000 0.5000 0.5000
N1 N 0.0000 0.5000 0.5000
O1 O 0.5000 0.5000 0.0000
```



[2]
Compound: SrWN2O
Source: Alexandria
Functional: PBE+U
Structure: optimized geometry

Geometry as CIF:
```
data_SrWN2O
_chemical_formula_sum 'Sr1 W1 N2 O1'
_cell_length_a 4.6797
_cell_length_b 4.6797
_cell_length_c 4.3303
_cell_angle_alpha 90.00
_cell_angle_beta 90.00
_cell_angle_gamma 90.00
_space_group_name_H-M_alt 'P 4/m m m'
_space_group_IT_number 123
_space_group_name_Hall '-P 4 2'
loop_
_atom_site_label
_atom_site_type_symbol
_atom_site_fract_x
_atom_site_fract_y
_atom_site_fract_z
Sr1 Sr 0.0000 0.0000 0.0000
W1 W 0.5000 0.5000 0.5000
N1 N 0.0000 0.5000 0.0000
O1 O 0.0000 0.0000 0.5000
```



[3]
Compound: SrWNO2
Source: Alexandria
Functional: PBE+U
Structure: optimized geometry

Geometry as CIF:
```
data_SrWNO2
_chemical_formula_sum 'Sr1 W1 N1 O2'
_cell_length_a 4.0398
_cell_length_b 4.0398
_cell_length_c 4.0441
_cell_angle_alpha 90.00
_cell_angle_beta 90.00
_cell_angle_gamma 90.00
_space_group_name_H-M_alt 'P 4/m m m'
_space_group_IT_number 123
_space_group_name_Hall '-P 4 2'
loop_
_atom_site_label
_atom_site_type_symbol
_atom_site_fract_x
_atom_site_fract_y
_atom_site_fract_z
Sr1 Sr 0.0000 0.0000 0.0000
W1 W 0.5000 0.5000 0.5000
N1 N 0.5000 0.5000 0.0000
O1 O 0.0000 0.5000 0.5000
```



[4]
Compound: SrWNO2
Source: Alexandria
Functional: PBE+U
Structure: optimized geometry

Geometry as CIF:
```
data_SrWNO2
_chemical_formula_sum 'Sr1 W1 N1 O2'
_cell_length_a 4.3871
_cell_length_b 4.3871
_cell_length_c 4.3490
_cell_angle_alpha 90.00
_cell_angle_beta 90.00
_cell_angle_gamma 90.00
_space_group_name_H-M_alt 'P 4/m m m'
_space_group_IT_number 123
_space_group_name_Hall '-P 4 2'
loop_
_atom_site_label
_atom_site_type_symbol
_atom_site_fract_x
_atom_site_fract_y
_atom_site_fract_z
Sr1 Sr 0.0000 0.0000 0.0000
W1 W 0.5000 0.5000 0.5000
N1 N 0.0000 0.0000 0.5000
O1 O 0.0000 0.5000 0.0000
```



The calculation returns the following calculated volume values, one per record and in order: 13.13 18.97 13.20 16.74 A^3/atom.
The calculation returns the following final energy values, one per record and in order: -36.28 -22.07 -35.80 -21.64 eV for the cell shown.